Computed, not measured: a relaxed structure of K4Mn at the PBE level of DFT.

a b c (Å): 7.466 7.466 7.466
angles (deg): 109.47 109.47 109.47
Site moments in Bohr magnetons follow the coordinates.
Element x y z (fractional)
K: 0.000 0.500 0.000  0.00
K: 0.500 0.500 0.500  0.00
K: 0.000 0.000 0.500  0.00
K: 0.500 0.000 0.000  0.00
Mn: 0.000 0.000 0.000  4.26

Results
The calculation puts the energy above the most stable polymorph in this dataset at 0.068 eV per atom. The value obtained for the total DFT energy (no corrections) is -2.147 eV/atom. The space group is Im-3m, No. 229.